[1]
Ce6TcHg2: optimized geometry, PBE-GGA.

Cell lengths 6.810, 6.810, 6.742 Å; angles 115.80, 115.80, 60.32 degrees
Positions (direct):
Ce (0.212, 0.745, 0.778)
Ce (0.239, 0.239, 0.267)
Ce (0.255, 0.788, 0.222)
Ce (0.745, 0.212, 0.778)
Ce (0.761, 0.761, 0.733)
Ce (0.788, 0.255, 0.222)
Tc (0.500, 0.500, 0.500)
Hg (0.231, 0.231, 0.765)
Hg (0.769, 0.769, 0.235)

Space-group type: No. 12
ΔE_f (eV/atom): -0.11

[2]
CsTi3I: optimized geometry, PBE-GGA.

Cell lengths 5.244, 5.244, 5.244 Å; angles 90.00, 90.00, 90.00 degrees
Positions (direct):
Cs (0.000, 0.000, 0.000)
Ti (0.000, 0.500, 0.500)
Ti (0.500, 0.000, 0.500)
Ti (0.500, 0.500, 0.000)
I (0.500, 0.500, 0.500)

Space-group type: No. 221
Raw formation energy (eV/atom): 1.306

| no. | ΔE to the lowest computed polymorph (meV/atom) | magnetic moment (μB/cell) | raw total energy (eV/atom) |
| --- | --- | --- | --- |
| 1 | 0 | 0.00 | -5.289 |
| 2 | 0 | 0.00 | -3.912 |